VASP calculation (GGA-PBE) on a geometry-optimized AlPtIN2 structure.

a b c (Å): 3.899 3.899 7.731
angles (deg): 90.00 90.00 90.00
Sites, in units of the cell vectors:
1 Al 0.500 0.500 0.500
2 Pt 0.000 0.000 0.000
3 N 0.500 0.000 0.000
4 N 0.000 0.500 0.000
5 I 0.000 0.000 0.500

ΔE to the lowest computed polymorph: 0.264 eV/atom
Crystal system: tetragonal
Uncorrected formation energy: 1.23 eV per atom
Symmetry: P4/mmm, No. 123



VASP calculation (GGA-PBE) on a geometry-optimized TbNdGa2 structure.

a b c (Å): 4.431 4.122 5.998
angles (deg): 90.00 111.64 90.00
Sites, in units of the cell vectors:
1 Nd 0.724 0.000 0.988
2 Ga 0.154 0.500 0.848
3 Ga 0.008 0.000 0.553
4 Tb 0.446 0.500 0.429

ΔE to the lowest computed polymorph: 0.000 eV/atom
Crystal system: monoclinic
Symmetry: Pm, No. 6
Formation energy from the elements: -0.603 eV/atom



VASP calculation (GGA-PBE) on a geometry-optimized La6Ge3H structure.

a b c (Å): 6.464 8.353 10.434
angles (deg): 90.00 91.34 90.00
Sites, in units of the cell vectors:
1 La 0.870 0.964 0.231
2 La 0.624 0.182 0.559
3 La 0.124 0.318 0.059
4 La 0.370 0.536 0.731
5 La 0.362 0.836 0.057
6 La 0.376 0.818 0.441
7 La 0.862 0.664 0.557
8 La 0.638 0.164 0.943
9 La 0.138 0.336 0.443
10 La 0.630 0.464 0.269
11 La 0.130 0.036 0.769
12 La 0.876 0.682 0.941
13 Ge 0.082 0.621 0.246
14 Ge 0.000 0.000 0.500
15 Ge 0.418 0.121 0.254
16 Ge 0.918 0.379 0.754
17 Ge 0.500 0.500 0.000
18 Ge 0.582 0.879 0.746
19 H 0.000 0.000 0.000
20 H 0.500 0.500 0.500

Crystal system: monoclinic
Symmetry: P2_1/c, No. 14
E_tot: -52.541 eV per formula unit



VASP calculation (GGA-PBE) on a geometry-optimized Al3Cu2Pd2 structure.

a b c (Å): 4.232 4.235 6.745
angles (deg): 71.45 108.46 119.48
Sites, in units of the cell vectors:
1 Pd 0.715 0.284 0.146
2 Pd 0.285 0.716 0.854
3 Cu 0.858 0.142 0.575
4 Cu 0.142 0.858 0.425
5 Al 0.572 0.428 0.718
6 Al 0.428 0.572 0.282
7 Al 0.000 0.000 0.000

Crystal system: monoclinic
Symmetry: C2/m, No. 12
Formation energy from the elements: -0.553 eV/atom



VASP calculation (GGA-PBE) on a geometry-optimized Be2TcPt structure.

a b c (Å): 6.056 6.056 5.067
angles (deg): 53.31 53.31 90.00
Site moments in Bohr magnetons follow the coordinates.
Sites, in units of the cell vectors:
1 Pt 0.750 0.250 0.500  0.03
2 Pt 0.000 0.000 0.000  0.03
3 Be 0.116 0.625 0.250  -0.01
4 Be 0.634 0.125 0.250  -0.01
5 Be 0.375 0.366 0.750  -0.01
6 Be 0.875 0.884 0.750  -0.01
7 Tc 0.250 0.750 0.500  0.40
8 Tc 0.500 0.500 0.000  0.39

ΔE to the lowest computed polymorph: 0.482 eV/atom
Crystal system: tetragonal
Symmetry: I-42d, No. 122
Formation energy from the elements: 0.103 eV/atom



VASP calculation (GGA-PBE) on a geometry-optimized ZnSiS2N structure.

a b c (Å): 4.804 4.804 3.780
angles (deg): 90.00 90.00 90.00
Site moments in Bohr magnetons follow the coordinates.
Sites, in units of the cell vectors:
1 S 0.500 0.000 0.000  0.14
2 S 0.000 0.500 0.000  0.14
3 Si 0.500 0.500 0.500  -0.01
4 N 0.000 0.000 0.500  1.09
5 Zn 0.000 0.000 0.000  0.04

ΔE to the lowest computed polymorph: 0.796 eV/atom
Crystal system: tetragonal
Uncorrected formation energy: 1.04 eV per atom
Symmetry: P4/mmm, No. 123



VASP calculation (GGA-PBE) on a geometry-optimized AsIrAu2 structure.

a b c (Å): 2.964 4.652 4.997
angles (deg): 90.00 90.00 90.00
Sites, in units of the cell vectors:
1 Ir 0.500 0.000 0.500
2 Au 0.000 0.000 0.000
3 Au 0.500 0.500 0.000
4 As 0.000 0.500 0.500

Crystal system: orthorhombic
Symmetry: Pmmm, No. 47
Formation energy from the elements: 0.356 eV/atom



VASP calculation (GGA-PBE) on a geometry-optimized LuNpSb2 structure.

a b c (Å): 3.901 3.901 6.819
angles (deg): 90.00 90.00 90.00
Site moments in Bohr magnetons follow the coordinates.
Sites, in units of the cell vectors:
1 Sb 0.000 0.000 0.253  -0.06
2 Sb 0.000 0.000 0.747  -0.06
3 Np 0.500 0.500 0.000  4.13
4 Lu 0.500 0.500 0.500  0.14

ΔE to the lowest computed polymorph: 0.179 eV/atom
Crystal system: tetragonal
Uncorrected formation energy: -0.42 eV per atom
Symmetry: P4/mmm, No. 123



V readings, ordered: 23.501; 25.462; 28.158; 13.981; 12.422; 17.448; 17.224; 25.947 A^3/atom